# 1
# UTlTe3, relaxed, DFT PBE-GGA
# Energy above the lowest structure with this stoichiometry, eV/atom: 0.0000
# Crystal system: trigonal
# Formation energy from raw total energies, eV per atom: -0.382
# Fermi-level density of states, states/eV/cell: 45.07
data_UTlTe3
_symmetry_space_group_name_H-M 'R 3 2'
_symmetry_Int_Tables_number 155
_symmetry_space_group_name_Hall 'R 3 2"'
_cell_length_a 7.7976
_cell_length_b 7.7976
_cell_length_c 21.9511
_cell_angle_alpha 90.00
_cell_angle_beta 90.00
_cell_angle_gamma 120.00
loop_
_atom_site_label
_atom_site_fract_x
_atom_site_fract_y
_atom_site_fract_z
U1 0.0000 0.0000 0.1654
Tl1 0.0000 0.0000 0.3771
Te1 0.0006 0.4981 0.4103

---

# 2
# U2Tl2Te5, relaxed, DFT PBE-GGA
# Crystal system: orthorhombic
# Formation energy from raw total energies, eV per atom: -0.545
# Fermi-level density of states, states/eV/cell: 38.30
data_U2Tl2Te5
_symmetry_space_group_name_H-M 'C m c e'
_symmetry_Int_Tables_number 64
_symmetry_space_group_name_Hall '-C 2ac 2'
_cell_length_a 17.147
_cell_length_b 8.333
_cell_length_c 8.348
_cell_angle_alpha 90.00
_cell_angle_beta 90.00
_cell_angle_gamma 90.00
loop_
_atom_site_label
_atom_site_fract_x
_atom_site_fract_y
_atom_site_fract_z
U1 0.000 0.151 0.151
Tl1 0.202 0.000 0.500
Te1 0.000 0.000 0.500
Te2 0.118 0.150 0.850

---

| no. | volume (Å³/f.u.) | M_tot (μB per cell) |
| --- | --- | --- |
| 1 | 192.65 | 6.477 |
| 2 | 298.20 | 15.960 |